Here is a relaxed structure of ReAgP2 from Alexandria via LeMat-Bulk. Energies are from PBE-GGA.

Results
ρ = 9.36 g/cm³
SG = Pm, No. 6
Crystal system = monoclinic
N(E_F) = 1.51 states/eV per cell
Energy of formation from the pure elements = 25.4 kJ per mole of atoms

a b c (Å): 3.205 4.631 4.353
angles (deg): 90.00 102.08 90.00
Atoms (fractional coordinates):
Re 0.000 0.000 0.000
Ag 0.499 0.500 0.711
P 0.104 0.500 0.171
P 0.647 0.000 0.426

***

Here is a relaxed structure of Y3Co2Sn3 from Alexandria via LeMat-Bulk. Energies are from PBE-GGA.

Results
ρ = 6.92 g/cm³
SG = Cmcm, No. 63
Crystal system = orthorhombic
N(E_F) = 13.47 states/eV per cell
Energy of formation from the pure elements = -55.5 kJ per mole of atoms

a b c (Å): 5.834 5.834 14.863
angles (deg): 90.00 90.00 135.34
Atoms (fractional coordinates):
Y 0.073 0.927 0.611
Y 0.073 0.927 0.889
Y 0.353 0.647 0.750
Y 0.647 0.353 0.250
Y 0.927 0.073 0.111
Y 0.927 0.073 0.389
Co 0.205 0.795 0.107
Co 0.205 0.795 0.393
Co 0.795 0.205 0.607
Co 0.795 0.205 0.893
Sn 0.348 0.652 0.250
Sn 0.362 0.638 0.537
Sn 0.362 0.638 0.963
Sn 0.638 0.362 0.037
Sn 0.638 0.362 0.463
Sn 0.652 0.348 0.750

***

Here is a relaxed structure of U2GaTc from Alexandria via LeMat-Bulk. Energies are from PBE-GGA.

Results
ρ = 14.71 g/cm³
SG = P4/mmm, No. 123
Crystal system = tetragonal
N(E_F) = 7.12 states/eV per cell
Energy of formation from the pure elements = -11.7 kJ per mole of atoms

a b c (Å): 4.092 4.092 4.339
angles (deg): 90.00 90.00 90.00
Atoms (fractional coordinates):
U 0.000 0.500 0.000
U 0.500 0.000 0.000
Ga 0.000 0.000 0.500
Tc 0.500 0.500 0.500

***

Q: Which value of N(E_F) does entry 3 give?
A: 7.12 states/eV per cell